1.
## TlCu2Mo (GGA-PBEsol)

Data for a relaxed TlCu2Mo crystal.

Values from the calculation:
ΔE_f ... 0.4676 eV/atom

a b c (Å): 2.817 3.790 5.752
angles (deg): 90.00 90.00 90.00
Element x y z (fractional)
Tl1 0.000 0.000 0.000
Cu1 0.500 0.500 0.284
Cu2 0.500 0.500 0.716
Mo1 0.000 0.000 0.500

***

2.
## Na2LiScGa (GGA-PBEsol)

Data for a relaxed Na2LiScGa crystal.

Values from the calculation:
ΔE_f ... 1.0635 eV/atom

a b c (Å): 5.948 5.948 5.255
angles (deg): 90.00 90.00 90.00
Element x y z (fractional)
Na1 0.000 0.500 0.000
Na2 0.500 0.000 0.000
Li1 0.000 0.000 0.500
Sc1 0.000 0.000 0.000
Ga1 0.500 0.500 0.500

***

3.
## Y2ReTcF (GGA-PBEsol)

Data for a relaxed Y2ReTcF crystal.

Values from the calculation:
Formation energy from raw total energies ... 0.56 eV per atom

a b c (Å): 5.264 5.264 3.808
angles (deg): 90.00 90.00 90.00
Element x y z (fractional)
Y1 0.000 0.500 0.000
Y2 0.500 0.000 0.000
Re1 0.000 0.000 0.500
Tc1 0.500 0.500 0.000
F1 0.500 0.500 0.500

***

4.
## AlTlTe (GGA-PBEsol)

Data for a relaxed AlTlTe crystal.

Values from the calculation:
Offset from the most stable computed form ... 0.000 eV per atom
Formation energy from raw total energies ... -0.09 eV per atom

a b c (Å): 4.033 4.033 5.803
angles (deg): 90.00 90.00 120.00
Element x y z (fractional)
Al1 0.000 0.000 0.000
Tl1 0.667 0.333 0.332
Te1 0.333 0.667 0.745

***

5.
## MnAlAs (GGA-PBEsol)

Data for a relaxed MnAlAs crystal.

Values from the calculation:
ΔE_f ... 0.4274 eV/atom

a b c (Å): 4.221 4.221 4.221
angles (deg): 60.00 60.00 60.00
Element x y z (fractional)
Mn1 0.000 0.000 0.000
Al1 0.750 0.750 0.750
As1 0.500 0.500 0.500

***

6.
## CeSm3 (GGA-PBEsol)

Data for a relaxed CeSm3 crystal.

Values from the calculation:
Offset from the most stable computed form ... 0.000 eV per atom
ΔE_f ... 0.0943 eV/atom

a b c (Å): 4.951 4.951 4.951
angles (deg): 90.00 90.00 90.00
Element x y z (fractional)
Ce1 0.000 0.000 0.000
Sm1 0.000 0.500 0.500
Sm2 0.500 0.000 0.500
Sm3 0.500 0.500 0.000

***

7.
## NiB2O4 (GGA-PBEsol)

Data for a relaxed NiB2O4 crystal.

Values from the calculation:
Formation energy from raw total energies ... -1.89 eV per atom

a b c (Å): 5.368 5.368 4.411
angles (deg): 105.77 105.77 61.38
Element x y z (fractional)
Ni1 0.146 0.854 0.750
Ni2 0.854 0.146 0.250
B1 0.209 0.424 0.133
B2 0.424 0.209 0.633
B3 0.576 0.791 0.367
B4 0.791 0.576 0.867
O1 0.004 0.707 0.018
O2 0.271 0.459 0.476
O3 0.293 0.996 0.482
O4 0.459 0.271 0.976
O5 0.541 0.729 0.024
O6 0.707 0.004 0.518
O7 0.729 0.541 0.524
O8 0.996 0.293 0.982

***

8.
## Sc2BiC (GGA-PBEsol)

Data for a relaxed Sc2BiC crystal.

Values from the calculation:
ΔE_f ... -0.3075 eV/atom

a b c (Å): 5.872 5.872 5.872
angles (deg): 108.12 108.12 112.20
Element x y z (fractional)
Sc1 0.033 0.625 0.908
Sc2 0.375 0.283 0.408
Sc3 0.717 0.125 0.092
Sc4 0.875 0.967 0.592
Bi1 0.250 0.750 0.500
Bi2 0.500 0.500 0.000
C1 0.000 0.000 0.000
C2 0.750 0.250 0.500

***

9.
## DyInPt (GGA-PBEsol)

Data for a relaxed DyInPt crystal.

Values from the calculation:
ΔE_f ... -1.0186 eV/atom

a b c (Å): 7.515 7.515 3.852
angles (deg): 90.00 90.00 120.00
Element x y z (fractional)
Dy1 0.000 0.593 0.000
Dy2 0.407 0.407 0.000
Dy3 0.593 0.000 0.000
In1 0.000 0.259 0.500
In2 0.259 0.000 0.500
In3 0.741 0.741 0.500
Pt1 0.000 0.000 0.000
Pt2 0.333 0.667 0.500
Pt3 0.667 0.333 0.500

***

10.
## Al2AsRu (GGA-PBEsol)

Data for a relaxed Al2AsRu crystal.

Values from the calculation:
ΔE_f ... -0.0132 eV/atom

a b c (Å): 4.367 4.367 4.367
angles (deg): 60.00 60.00 60.00
Element x y z (fractional)
Al1 0.000 0.000 0.000
Al2 0.250 0.250 0.250
As1 0.750 0.750 0.750
Ru1 0.500 0.500 0.500

***

11.
## Ta3HBr (GGA-PBEsol)

Data for a relaxed Ta3HBr crystal.

a b c (Å): 4.677 4.677 4.677
angles (deg): 90.00 90.00 90.00
Element x y z (fractional)
Ta1 0.000 0.000 0.500
Ta2 0.000 0.500 0.000
Ta3 0.500 0.000 0.000
H1 0.500 0.500 0.500
Br1 0.000 0.000 0.000

***

12.
## NdTe2 (GGA-PBEsol)

Data for a relaxed NdTe2 crystal.

Values from the calculation:
Formation energy from raw total energies ... -1.29 eV per atom

a b c (Å): 4.444 4.444 9.004
angles (deg): 90.00 90.00 90.00
Element x y z (fractional)
Nd1 0.250 0.250 0.229
Nd2 0.750 0.750 0.771
Te1 0.250 0.250 0.869
Te2 0.250 0.750 0.500
Te3 0.750 0.250 0.500
Te4 0.750 0.750 0.131

***

| no. | DFT total energy (eV/f.u.) |
| --- | --- |
| 1 | -21.196 |
| 2 | -9.393 |
| 3 | -37.362 |
| 4 | -10.521 |
| 5 | -17.677 |
| 6 | -21.495 |
| 7 | -54.444 |
| 8 | -28.369 |
| 9 | -17.981 |
| 10 | -23.515 |
| 11 | -31.185 |
| 12 | -16.092 |